# 1
The following is a DFT calculation (PBE-GGA) of crystalline Y2VAgC at its relaxed geometry.

Cell lengths 5.015, 5.015, 3.970 Å; angles 90.00, 90.00, 90.00 degrees
Fractional coordinates of all 5 atoms:
Y (0.000, 0.500, 0.000)
Y (0.500, 0.000, 0.000)
V (0.000, 0.000, 0.500)
Ag (0.500, 0.500, 0.500)
C (0.000, 0.000, 0.000)

Values from the calculation:
Crystal system   tetragonal
Formation enthalpy at 0 K   -217 meV per atom
V   19.968 A^3/atom

---

# 2
The following is a DFT calculation (PBE-GGA) of crystalline VZn2AgC at its relaxed geometry.

Cell lengths 4.141, 4.141, 3.999 Å; angles 90.00, 90.00, 90.00 degrees
Fractional coordinates of all 5 atoms:
V (0.000, 0.000, 0.000)
Zn (0.000, 0.500, 0.500)
Zn (0.500, 0.000, 0.500)
Ag (0.500, 0.500, 0.000)
C (0.000, 0.000, 0.500)

Values from the calculation:
Crystal system   tetragonal
Formation enthalpy at 0 K   346 meV per atom
V   13.715 A^3/atom

---

# 3
The following is a DFT calculation (PBE-GGA) of crystalline Zr2VAgC at its relaxed geometry.

Cell lengths 4.596, 4.596, 4.009 Å; angles 90.00, 90.00, 90.00 degrees
Fractional coordinates of all 5 atoms:
Zr (0.000, 0.500, 0.000)
Zr (0.500, 0.000, 0.000)
V (0.000, 0.000, 0.500)
Ag (0.500, 0.500, 0.500)
C (0.000, 0.000, 0.000)

Values from the calculation:
Crystal system   tetragonal
Formation enthalpy at 0 K   -256 meV per atom
V   16.935 A^3/atom

---

# 4
The following is a DFT calculation (PBE-GGA) of crystalline ZrVAg2C at its relaxed geometry.

Cell lengths 5.269, 5.269, 4.056 Å; angles 90.00, 90.00, 90.00 degrees
Fractional coordinates of all 5 atoms:
Zr (0.000, 0.000, 0.000)
V (0.500, 0.500, 0.500)
Ag (0.000, 0.500, 0.000)
Ag (0.500, 0.000, 0.000)
C (0.000, 0.000, 0.500)

Values from the calculation:
Crystal system   tetragonal
Formation enthalpy at 0 K   1756 meV per atom
V   22.522 A^3/atom

---

# 5
The following is a DFT calculation (PBE-GGA) of crystalline Ag3WC at its relaxed geometry.

Cell lengths 5.126, 5.126, 5.126 Å; angles 90.00, 90.00, 90.00 degrees
Fractional coordinates of all 5 atoms:
Ag (0.000, 0.000, 0.500)
Ag (0.000, 0.500, 0.000)
Ag (0.500, 0.000, 0.000)
W (0.000, 0.000, 0.000)
C (0.500, 0.500, 0.500)

Values from the calculation:
Crystal system   cubic
Formation enthalpy at 0 K   3031 meV per atom
V   26.944 A^3/atom

---

# 6
The following is a DFT calculation (PBE-GGA) of crystalline AgW3C at its relaxed geometry.

Cell lengths 4.182, 4.182, 4.182 Å; angles 90.00, 90.00, 90.00 degrees
Fractional coordinates of all 5 atoms:
Ag (0.000, 0.000, 0.000)
W (0.000, 0.500, 0.500)
W (0.500, 0.000, 0.500)
W (0.500, 0.500, 0.000)
C (0.500, 0.500, 0.500)

Values from the calculation:
Crystal system   cubic
Formation enthalpy at 0 K   484 meV per atom
V   14.631 A^3/atom

---

# 7
The following is a DFT calculation (PBE-GGA) of crystalline Ag3WC at its relaxed geometry.

Cell lengths 4.282, 4.282, 4.282 Å; angles 90.00, 90.00, 90.00 degrees
Fractional coordinates of all 5 atoms:
Ag (0.000, 0.000, 0.500)
Ag (0.000, 0.500, 0.000)
Ag (0.500, 0.000, 0.000)
W (0.500, 0.500, 0.500)
C (0.000, 0.000, 0.000)

Values from the calculation:
Crystal system   cubic
Formation enthalpy at 0 K   1615 meV per atom
V   15.697 A^3/atom

---

# 8
The following is a DFT calculation (PBE-GGA) of crystalline AgW3C at its relaxed geometry.

Cell lengths 4.774, 4.774, 4.774 Å; angles 90.00, 90.00, 90.00 degrees
Fractional coordinates of all 5 atoms:
Ag (0.000, 0.000, 0.000)
W (0.000, 0.000, 0.500)
W (0.000, 0.500, 0.000)
W (0.500, 0.000, 0.000)
C (0.500, 0.500, 0.500)

Values from the calculation:
Crystal system   cubic
Formation enthalpy at 0 K   4165 meV per atom
V   21.767 A^3/atom

---

# 9
The following is a DFT calculation (PBE-GGA) of crystalline Y2AgC at its relaxed geometry.

Cell lengths 7.632, 7.632, 7.632 Å; angles 27.87, 27.87, 27.87 degrees
Fractional coordinates of all 4 atoms:
Y (0.227, 0.227, 0.227)
Y (0.773, 0.773, 0.773)
Ag (0.000, 0.000, 0.000)
C (0.500, 0.500, 0.500)

Values from the calculation:
Crystal system   trigonal
Formation enthalpy at 0 K   -257 meV per atom
V   21.446 A^3/atom

---

# 10
The following is a DFT calculation (PBE-GGA) of crystalline Y3AgC at its relaxed geometry.

Cell lengths 8.860, 3.640, 14.502 Å; angles 90.00, 90.00, 90.00 degrees
Fractional coordinates of all 20 atoms:
Y (0.009, 0.250, 0.100)
Y (0.180, 0.250, 0.521)
Y (0.199, 0.750, 0.310)
Y (0.301, 0.250, 0.810)
Y (0.320, 0.750, 0.021)
Y (0.491, 0.750, 0.600)
Y (0.509, 0.250, 0.400)
Y (0.680, 0.250, 0.979)
Y (0.699, 0.750, 0.190)
Y (0.801, 0.250, 0.690)
Y (0.820, 0.750, 0.479)
Y (0.991, 0.750, 0.900)
Ag (0.090, 0.750, 0.684)
Ag (0.410, 0.250, 0.184)
Ag (0.590, 0.750, 0.816)
Ag (0.910, 0.250, 0.316)
C (0.161, 0.250, 0.954)
C (0.339, 0.750, 0.454)
C (0.661, 0.250, 0.546)
C (0.839, 0.750, 0.046)

Values from the calculation:
Crystal system   orthorhombic
Formation enthalpy at 0 K   -282 meV per atom
V   23.386 A^3/atom

---

# 11
The following is a DFT calculation (PBE-GGA) of crystalline Y6AgC3 at its relaxed geometry.

Cell lengths 10.945, 3.631, 11.566 Å; angles 90.00, 108.33, 90.00 degrees
Fractional coordinates of all 20 atoms:
Y (0.039, 0.250, 0.382)
Y (0.145, 0.750, 0.140)
Y (0.256, 0.250, 0.669)
Y (0.323, 0.750, 0.435)
Y (0.365, 0.750, 0.950)
Y (0.445, 0.250, 0.235)
Y (0.555, 0.750, 0.765)
Y (0.635, 0.250, 0.050)
Y (0.677, 0.250, 0.565)
Y (0.744, 0.750, 0.331)
Y (0.855, 0.250, 0.860)
Y (0.961, 0.750, 0.618)
Ag (0.129, 0.250, 0.888)
Ag (0.871, 0.750, 0.112)
C (0.153, 0.750, 0.532)
C (0.239, 0.250, 0.287)
C (0.459, 0.250, 0.856)
C (0.541, 0.750, 0.144)
C (0.761, 0.750, 0.713)
C (0.847, 0.250, 0.468)

Values from the calculation:
Crystal system   monoclinic
Formation enthalpy at 0 K   -261 meV per atom
V   21.815 A^3/atom

---

# 12
The following is a DFT calculation (PBE-GGA) of crystalline Y2AgC at its relaxed geometry.

Cell lengths 6.340, 3.670, 7.688 Å; angles 90.00, 106.21, 90.00 degrees
Fractional coordinates of all 8 atoms:
Y (0.020, 0.250, 0.316)
Y (0.476, 0.250, 0.676)
Y (0.524, 0.750, 0.324)
Y (0.980, 0.750, 0.684)
Ag (0.278, 0.250, 0.001)
Ag (0.722, 0.750, 0.999)
C (0.247, 0.750, 0.497)
C (0.753, 0.250, 0.503)

Values from the calculation:
Crystal system   monoclinic
Formation enthalpy at 0 K   -260 meV per atom
V   21.471 A^3/atom

---

The lowest formation enthalpy at 0 K belongs to which entry? Y3AgC

---

Among the records above, which one has the lowest V? VZn2AgC

---

Look up the V of the fourth one. 22.522 A^3/atom